1.
Crystalline ZrNiS at its relaxed geometry. Source: Alexandria, functional GGA-PBE.

The value obtained for the excess energy over the best structure of this formula in the dataset is 0.10 eV/f.u. The total magnetization comes out at 0.00 Bohr magnetons per cell.

It has space group Cm (No. 8), with a = 9.401 Å, b = 3.610 Å, c = 5.530 Å, α = 90.00°, β = 101.81° and γ = 90.00°. Symmetry generates all atoms from Zr at (0.000, 0.000, 0.000), Zr at (0.163, 0.500, 0.526), Ni at (0.200, 0.500, 0.042), Ni at (0.347, 0.000, 0.290), S at (0.286, 0.000, 0.868) and S at (0.450, 0.500, 0.496).

---

2.
Crystalline Zr2NiS at its relaxed geometry. Source: Alexandria, functional GGA-PBE.

The total magnetization comes out at 0.00 Bohr magnetons per cell.

It has space group I-42d (No. 122), with a = 6.853 Å, b = 6.853 Å, c = 6.305 Å, α = 90.00°, β = 90.00° and γ = 90.00°. Symmetry generates all atoms from Zr at (0.247, 0.250, 0.125), Ni at (0.000, 0.000, 0.500) and S at (0.000, 0.000, 0.000).

---

3.
Crystalline Zr2Ni4S5 at its relaxed geometry. Source: Alexandria, functional GGA-PBE.

The total magnetization comes out at 0.00 Bohr magnetons per cell.

It has space group R-3m (No. 166, hexagonal axes), with a = 3.6568 Å, b = 3.6568 Å, c = 44.9151 Å, α = 90.00°, β = 90.00° and γ = 120.00°. Symmetry generates all atoms from Zr at (0.0000, 0.0000, 0.1318), Ni at (0.0000, 0.0000, 0.3169), Ni at (0.0000, 0.0000, 0.4191), S at (0.0000, 0.0000, 0.2379), S at (0.0000, 0.0000, 0.3674) and S at (0.0000, 0.0000, 0.5000).

---

4.
Crystalline ZrNiS2 at its relaxed geometry. Source: Alexandria, functional GGA-PBE.

The value obtained for the excess energy over the best structure of this formula in the dataset is 1.24 eV/f.u. The total magnetization comes out at 0.00 Bohr magnetons per cell.

It has space group I-42d (No. 122), with a = 5.347 Å, b = 5.347 Å, c = 11.128 Å, α = 90.00°, β = 90.00° and γ = 90.00°. Symmetry generates all atoms from Zr at (0.000, 0.000, 0.000), Ni at (0.000, 0.000, 0.500) and S at (0.212, 0.250, 0.625).

---

5.
Crystalline Zr4Ni2S at its relaxed geometry. Source: Alexandria, functional GGA-PBE.

The total magnetization comes out at 0.00 Bohr magnetons per cell.

It has space group C2/m (No. 12), with a = 11.446 Å, b = 3.517 Å, c = 7.904 Å, α = 90.00°, β = 125.18° and γ = 90.00°. Symmetry generates all atoms from Zr at (0.089, 0.000, 0.383), Zr at (0.186, 0.500, 0.096), Ni at (0.117, 0.500, 0.669) and S at (0.000, 0.000, 0.000).

---

6.
Crystalline ZrNi3S3 at its relaxed geometry. Source: Alexandria, functional GGA-PBE.

The total magnetization comes out at 6.99 Bohr magnetons per cell.

It has space group R-3 (No. 148, hexagonal axes), with a = 6.3624 Å, b = 6.3624 Å, c = 18.1153 Å, α = 90.00°, β = 90.00° and γ = 120.00°. Symmetry generates all atoms from Zr at (0.0000, 0.0000, 0.1666), Ni at (0.0045, 0.3504, 0.3782) and S at (0.0024, 0.3240, 0.5836).

---

7.
Crystalline ZrNiS2 at its relaxed geometry. Source: Alexandria, functional GGA-PBE.

The value obtained for the excess energy over the best structure of this formula in the dataset is 0.44 eV/f.u. The total magnetization comes out at 0.00 Bohr magnetons per cell.

It has space group P2_1/m (No. 11), with a = 6.322 Å, b = 3.633 Å, c = 6.725 Å, α = 90.00°, β = 108.79° and γ = 90.00°. Symmetry generates all atoms from Zr at (0.240, 0.250, 0.475), Ni at (0.381, 0.250, 0.894), S at (0.010, 0.250, 0.746) and S at (0.497, 0.750, 0.748).

---

8.
Crystalline ZrNi3S at its relaxed geometry. Source: Alexandria, functional GGA-PBE.

The total magnetization comes out at 0.00 Bohr magnetons per cell.

It has space group Pm-3m (No. 221), with a = 4.179 Å, b = 4.179 Å, c = 4.179 Å, α = 90.00°, β = 90.00° and γ = 90.00°. Symmetry generates all atoms from Zr at (0.000, 0.000, 0.000), Ni at (0.000, 0.500, 0.500) and S at (0.500, 0.500, 0.500).

---

9.
Crystalline ZrNiS at its relaxed geometry. Source: Alexandria, functional GGA-PBE.

The value obtained for the excess energy over the best structure of this formula in the dataset is 0.26 eV/f.u. The total magnetization comes out at 0.00 Bohr magnetons per cell.

It has space group R-3m (No. 166, hexagonal axes), with a = 4.0273 Å, b = 4.0273 Å, c = 26.3821 Å, α = 90.00°, β = 90.00° and γ = 120.00°. Symmetry generates all atoms from Zr at (0.0000, 0.0000, 0.0615), Ni at (0.0000, 0.0000, 0.3216) and S at (0.0000, 0.0000, 0.2297).

---

10.
Crystalline ZrNi2S at its relaxed geometry. Source: Alexandria, functional GGA-PBE.

The total magnetization comes out at 0.00 Bohr magnetons per cell.

It has space group I-42d (No. 122), with a = 4.257 Å, b = 4.257 Å, c = 14.137 Å, α = 90.00°, β = 90.00° and γ = 90.00°. Symmetry generates all atoms from Zr at (0.000, 0.000, 0.000), Ni at (0.121, 0.250, 0.625) and S at (0.000, 0.000, 0.500).

---

11.
Crystalline Zr3NiS at its relaxed geometry. Source: Alexandria, functional GGA-PBE.

The value obtained for the excess energy over the best structure of this formula in the dataset is 0.00 eV/f.u. The total magnetization comes out at 0.00 Bohr magnetons per cell.

It has space group Pnma (No. 62), with a = 7.232 Å, b = 3.593 Å, c = 14.400 Å, α = 90.00°, β = 90.00° and γ = 90.00°. Symmetry generates all atoms from Zr at (0.007, 0.250, 0.096), Zr at (0.132, 0.250, 0.564), Zr at (0.174, 0.750, 0.268), Ni at (0.102, 0.750, 0.704) and S at (0.247, 0.250, 0.947).

---

12.
Crystalline Zr3NiS at its relaxed geometry. Source: Alexandria, functional GGA-PBE.

The value obtained for the excess energy over the best structure of this formula in the dataset is 2.93 eV/f.u. The total magnetization comes out at 0.00 Bohr magnetons per cell.

It has space group Pm-3m (No. 221), with a = 4.760 Å, b = 4.760 Å, c = 4.760 Å, α = 90.00°, β = 90.00° and γ = 90.00°. Symmetry generates all atoms from Zr at (0.000, 0.000, 0.500), Ni at (0.500, 0.500, 0.500) and S at (0.000, 0.000, 0.000).

---

13.
Crystalline ZrNi5S4 at its relaxed geometry. Source: Alexandria, functional GGA-PBE.

The total magnetization comes out at 0.00 Bohr magnetons per cell.

It has space group Immm (No. 71), with a = 3.597 Å, b = 6.547 Å, c = 11.940 Å, α = 90.00°, β = 90.00° and γ = 90.00°. Symmetry generates all atoms from Zr at (0.000, 0.000, 0.000), Ni at (0.000, 0.305, 0.325), Ni at (0.000, 0.500, 0.000), S at (0.000, 0.000, 0.230) and S at (0.000, 0.210, 0.500).

---

14.
Crystalline ZrNiS at its relaxed geometry. Source: Alexandria, functional GGA-PBE.

The value obtained for the excess energy over the best structure of this formula in the dataset is 0.16 eV/f.u. The total magnetization comes out at 0.00 Bohr magnetons per cell.

It has space group Pm (No. 6), with a = 3.426 Å, b = 3.669 Å, c = 7.701 Å, α = 90.00°, β = 98.18° and γ = 90.00°. Symmetry generates all atoms from Zr at (0.000, 0.000, 0.000), Zr at (0.154, 0.500, 0.457), Ni at (0.470, 0.500, 0.832), Ni at (0.540, 0.500, 0.150), S at (0.278, 0.000, 0.702) and S at (0.603, 0.000, 0.314).

---

15.
Crystalline ZrNiS at its relaxed geometry. Source: Alexandria, functional GGA-PBE.

The value obtained for the excess energy over the best structure of this formula in the dataset is 0.00 eV/f.u. The total magnetization comes out at 0.00 Bohr magnetons per cell.

It has space group P-6m2 (No. 187), with a = 3.7146 Å, b = 3.7146 Å, c = 3.6812 Å, α = 90.00°, β = 90.00° and γ = 120.00°. Symmetry generates all atoms from Zr at (0.0000, 0.0000, 0.0000), Ni at (0.6667, 0.3333, 0.5000) and S at (0.3333, 0.6667, 0.5000).

---

16.
Crystalline ZrNiS2 at its relaxed geometry. Source: Alexandria, functional GGA-PBE.

The value obtained for the excess energy over the best structure of this formula in the dataset is 1.41 eV/f.u. The total magnetization comes out at 0.09 Bohr magnetons per cell.

It has space group R-3m (No. 166, hexagonal axes), with a = 3.6312 Å, b = 3.6312 Å, c = 21.7500 Å, α = 90.00°, β = 90.00° and γ = 120.00°. Symmetry generates all atoms from Zr at (0.0000, 0.0000, 0.0000), Ni at (0.0000, 0.0000, 0.5000) and S at (0.0000, 0.0000, 0.4031).

---

17.
Crystalline ZrNiS at its relaxed geometry. Source: Alexandria, functional GGA-PBE.

The value obtained for the excess energy over the best structure of this formula in the dataset is 0.06 eV/f.u. The total magnetization comes out at 0.00 Bohr magnetons per cell.

It has space group I4_1md (No. 109), with a = 3.710 Å, b = 3.710 Å, c = 12.820 Å, α = 90.00°, β = 90.00° and γ = 90.00°. Symmetry generates all atoms from Zr at (0.000, 0.000, 0.000), Ni at (0.000, 0.000, 0.581) and S at (0.000, 0.000, 0.415).

---

18.
Crystalline ZrNiS at its relaxed geometry. Source: Alexandria, functional GGA-PBE.

The value obtained for the excess energy over the best structure of this formula in the dataset is 0.17 eV/f.u. The total magnetization comes out at 0.00 Bohr magnetons per cell.

It has space group Cm (No. 8), with a = 9.966 Å, b = 3.595 Å, c = 5.388 Å, α = 90.00°, β = 108.38° and γ = 90.00°. Symmetry generates all atoms from Zr at (0.000, 0.000, 0.000), Zr at (0.138, 0.500, 0.591), Ni at (0.222, 0.500, 0.158), Ni at (0.348, 0.000, 0.566), S at (0.283, 0.000, 0.926) and S at (0.440, 0.500, 0.449).

---

19.
Crystalline ZrNiS2 at its relaxed geometry. Source: Alexandria, functional GGA-PBE.

The value obtained for the excess energy over the best structure of this formula in the dataset is 2.00 eV/f.u. The total magnetization comes out at 0.00 Bohr magnetons per cell.

It has space group Fm-3m (No. 225), with a = 6.254 Å, b = 6.254 Å, c = 6.254 Å, α = 90.00°, β = 90.00° and γ = 90.00°. Symmetry generates all atoms from Zr at (0.000, 0.000, 0.000), Ni at (0.000, 0.000, 0.500) and S at (0.250, 0.250, 0.250).

---

20.
Crystalline ZrNiS2 at its relaxed geometry. Source: Alexandria, functional GGA-PBE.

The value obtained for the excess energy over the best structure of this formula in the dataset is 0.00 eV/f.u. The total magnetization comes out at 0.00 Bohr magnetons per cell.

It has space group Pnma (No. 62), with a = 12.629 Å, b = 3.714 Å, c = 5.943 Å, α = 90.00°, β = 90.00° and γ = 90.00°. Symmetry generates all atoms from Zr at (0.120, 0.250, 0.019), Ni at (0.038, 0.750, 0.347), S at (0.053, 0.750, 0.737) and S at (0.209, 0.750, 0.244).

---

Number 1: ΔE_f (raw) -0.92 eV/atom, N(E_F) 7.553 states/eV per cell. Number 2: ΔE_f (raw) -0.52 eV/atom, N(E_F) 15.546 states/eV per cell. Number 3: ΔE_f (raw) -0.80 eV/atom, N(E_F) 16.377 states/eV per cell. Number 4: ΔE_f (raw) -0.88 eV/atom, N(E_F) 8.352 states/eV per cell. Number 5: ΔE_f (raw) -0.69 eV/atom, N(E_F) 10.353 states/eV per cell. Number 6: ΔE_f (raw) -0.75 eV/atom, N(E_F) 34.571 states/eV per cell. Number 7: ΔE_f (raw) -1.08 eV/atom, N(E_F) 2.528 states/eV per cell. Number 8: ΔE_f (raw) -0.13 eV/atom, N(E_F) 6.015 states/eV per cell. Number 9: ΔE_f (raw) -0.86 eV/atom, N(E_F) 18.672 states/eV per cell. Number 10: ΔE_f (raw) -0.29 eV/atom, N(E_F) 4.004 states/eV per cell. Number 11: ΔE_f (raw) -0.77 eV/atom, N(E_F) 17.866 states/eV per cell. Number 12: ΔE_f (raw) -0.19 eV/atom, N(E_F) 4.629 states/eV per cell. Number 13: ΔE_f (raw) -0.52 eV/atom, N(E_F) 12.999 states/eV per cell. Number 14: ΔE_f (raw) -0.90 eV/atom, N(E_F) 3.147 states/eV per cell. Number 15: ΔE_f (raw) -0.95 eV/atom, N(E_F) 0.377 states/eV per cell. Number 16: ΔE_f (raw) -0.83 eV/atom, N(E_F) 14.767 states/eV per cell. Number 17: ΔE_f (raw) -0.93 eV/atom, N(E_F) 1.295 states/eV per cell. Number 18: ΔE_f (raw) -0.89 eV/atom, N(E_F) 7.350 states/eV per cell. Number 19: ΔE_f (raw) -0.69 eV/atom, N(E_F) 0.922 states/eV per cell. Number 20: ΔE_f (raw) -1.19 eV/atom, N(E_F) 0.343 states/eV per cell.